First-principles (PBE) data for crystalline Pm7SbI12 at its relaxed geometry, as listed in OQMD via LeMat-Bulk.

Calculated values
crystal system: trigonal
total magnetic moment: 0.00 μB per atom
total energy: -245.652 eV per cell

Structure (CIF):
```
data_Pm7SbI12
_chemical_formula_sum 'Pm21 Sb3 I36'
_symmetry_space_group_name_H-M 'R -3'
_symmetry_Int_Tables_number 148
_symmetry_space_group_name_Hall '-R 3'
_cell_length_a 16.2011
_cell_length_b 16.2011
_cell_length_c 10.6245
_cell_angle_alpha 90.00
_cell_angle_beta 90.00
_cell_angle_gamma 120.00
loop_
_atom_site_label
_atom_site_type_symbol
_atom_site_fract_x
_atom_site_fract_y
_atom_site_fract_z
Pm1 Pm 0.0000 0.0000 0.0000
Pm2 Pm 0.0483 0.8802 0.3425
Sb1 Sb 0.0000 0.0000 0.5000
I1 I 0.0235 0.4355 0.1659
I2 I 0.0521 0.8687 0.8397
```